This record from Alexandria describes crystalline Li3Mn2Co2O8 at its relaxed geometry. The functional is PBE with a Hubbard U.

a = 2.9638 Å, b = 4.9599 Å, c = 9.9731 Å
α = 88.89°, β = 86.83°, γ = 87.39°
Last column: nearest neighbours and their distance in Å.
Fractional coordinates of all 15 atoms:
Li 0.0000 0.0000 0.0000  5 O 2.00-2.11
Li 0.0050 0.6552 0.5171  5 O 2.06-2.19
Li 0.5034 0.5030 0.0013  5 O 2.06-2.13
Mn 0.1447 0.0567 0.2679  6 O 1.93-2.05
Mn 0.5178 0.1679 0.7559  5 O 1.91-2.07
Co 0.0253 0.6705 0.7704  4 O 1.88-1.94
Co 0.6465 0.5570 0.2587  6 O 1.91-1.97
O 0.0138 0.9835 0.6605  1 Co 1.88, 2 Mn 1.91-2.07
O 0.0476 0.3457 0.8790  1 Co 1.92, 1 Mn 1.99, 3 Li 2.06-2.10
O 0.1334 0.3981 0.3578  2 Co 1.92-1.96, 1 Mn 1.93, 1 Li 2.06
O 0.1541 0.7268 0.1580  2 Co 1.97, 1 Mn 1.99, 2 Li 2.11-2.13
O 0.5036 0.5106 0.6577  1 Co 1.91, 1 Mn 1.95, 1 Li 2.13
O 0.5509 0.8488 0.8831  1 Co 1.94, 3 Li 2.00-2.07, 1 Mn 2.01
O 0.6222 0.8740 0.3654  1 Co 1.91, 2 Mn 1.94-2.02
O 0.6696 0.2236 0.1573  1 Co 1.95, 2 Mn 1.98-2.05, 2 Li 2.11-2.13

Properties
- symmetry = No. 1
- distance to the lowest polymorph of the same formula (meV per atom) = 34.8
- theoretical density (Mg/m³) = 4.28